PBE Dy3Si3Pt2, relaxed; total DFT energy (no corrections) = -51.05 eV/f.u.
1.0
2.1410 -5.1743 0.0000
2.1410 5.1743 0.0000
0.0000 0.0000 14.1694
Dy Si Pt
6 6 4
Cartesian
2.1410 4.2319 8.6602
2.1410 4.2319 12.5939
2.1410 1.3364 10.6271
2.1410 -1.3364 3.5424
2.1410 -4.2319 1.5755
2.1410 -4.2319 5.5092
2.1410 1.7216 3.5424
2.1410 1.1667 7.5792
2.1410 1.1667 13.6749
2.1410 -1.1667 0.4945
2.1410 -1.1667 6.5902
2.1410 -1.7216 10.6271
2.1410 3.1538 1.4336
2.1410 3.1538 5.6511
2.1410 -3.1538 8.5183
2.1410 -3.1538 12.7358

PBE Dy4SiPt3, relaxed; total DFT energy (no corrections) = -51.09 eV/f.u.
1.0
5.6945 0.0000 0.0000
0.0000 4.2009 0.0000
-0.0143 0.0000 7.4265
Dy Si Pt
4 1 3
Cartesian
0.0000 0.0000 0.0000
1.2975 0.0000 3.7770
2.7988 2.1004 6.4506
4.1681 2.1004 2.6688
4.1281 0.0000 4.7758
1.1807 2.1004 1.7017
2.9490 0.0000 1.0292
5.6718 2.1004 5.3502

PBE DySi2Pt, relaxed; total DFT energy (no corrections) = -24.06 eV/f.u.
1.0
4.3572 0.0000 0.0000
0.0000 4.5047 0.0000
0.0000 0.0000 7.7074
Dy Si Pt
2 4 2
Cartesian
0.0000 0.2451 0.0000
0.0000 4.2596 3.8537
0.0000 2.2388 1.9723
0.0000 2.2660 5.8259
2.1786 0.9268 2.1911
2.1786 3.5779 6.0448
2.1786 1.3462 4.9010
2.1786 3.1585 1.0473

PBE DySi2Pt, relaxed; total DFT energy (no corrections) = -24.62 eV/f.u.
1.0
4.1358 0.0000 0.0000
0.0000 5.9872 0.0000
0.0000 0.0000 5.7129
Dy Si Pt
2 4 2
Cartesian
0.0000 0.5984 0.0000
2.0679 5.3889 2.8565
0.0000 1.5341 2.8648
0.0000 3.8310 4.2371
2.0679 2.1562 1.3806
2.0679 4.4531 0.0083
0.0000 3.5879 1.1571
2.0679 2.3994 4.0135

Which value of total DFT energy (no corrections) does entry 2 give? -51.09 eV/f.u.